1.
Here is an optimized crystal structure of MnAg2Ir from Alexandria via LeMat-Bulk. Energies are from PBE-GGA.

```
data_MnAg2Ir
_space_group_name_H-M_alt 'P 1'
_space_group_IT_number 1
_space_group_name_Hall 'P 1'
_cell_length_a 5.8326
_cell_length_b 5.8326
_cell_length_c 5.8326
_cell_angle_alpha 101.86
_cell_angle_beta 101.86
_cell_angle_gamma 126.10
loop_
_atom_site_label
_atom_site_fract_x
_atom_site_fract_y
_atom_site_fract_z
Mn1 0.0000 0.0000 0.0000
Mn2 0.7500 0.2500 0.5000
Ag1 0.1215 0.6250 0.9965
Ag2 0.3750 0.3715 0.4965
Ag3 0.6285 0.1250 0.0035
Ag4 0.8750 0.8785 0.5035
Ir1 0.2500 0.7500 0.5000
Ir2 0.5000 0.5000 0.0000
```

Properties
- N(E_F): 5.712 states/eV per cell
- Raw total energy: -41.822 eV/cell
- Spin magnetization: 1.23 μB per atom
- ΔE to the lowest computed polymorph: 0.557 eV per atom
- Space-group type: I-42d

***

2.
Here is an optimized crystal structure of Cs2BaCuBr6 from Alexandria via LeMat-Bulk. Energies are from PBE-GGA.

```
data_Cs2BaCuBr6
_space_group_name_H-M_alt 'P 1'
_space_group_IT_number 1
_space_group_name_Hall 'P 1'
_cell_length_a 6.1187
_cell_length_b 6.1187
_cell_length_c 11.1001
_cell_angle_alpha 90.00
_cell_angle_beta 90.00
_cell_angle_gamma 90.00
loop_
_atom_site_label
_atom_site_fract_x
_atom_site_fract_y
_atom_site_fract_z
Cs1 0.0000 0.0000 0.2118
Cs2 0.0000 0.0000 0.7882
Ba1 0.5000 0.5000 0.5000
Cu1 0.5000 0.5000 0.0000
Br1 0.0000 0.5000 0.0000
Br2 0.0000 0.5000 0.5000
Br3 0.5000 0.0000 0.0000
Br4 0.5000 0.0000 0.5000
Br5 0.5000 0.5000 0.2097
Br6 0.5000 0.5000 0.7903
```

Properties
- N(E_F): 3.481 states/eV per cell
- Raw total energy: -31.569 eV/cell
- Raw formation energy: -1.381 eV/atom
- Spin magnetization: 0.07 μB per atom
- ΔE to the lowest computed polymorph: 0.013 eV per atom
- Space-group type: P4/mmm

***

3.
Here is an optimized crystal structure of LiGe2Pb2 from Alexandria via LeMat-Bulk. Energies are from PBE-GGA.

```
data_LiGe2Pb2
_space_group_name_H-M_alt 'P 1'
_space_group_IT_number 1
_space_group_name_Hall 'P 1'
_cell_length_a 8.9715
_cell_length_b 8.9715
_cell_length_c 8.9715
_cell_angle_alpha 155.45
_cell_angle_beta 155.45
_cell_angle_gamma 35.00
loop_
_atom_site_label
_atom_site_fract_x
_atom_site_fract_y
_atom_site_fract_z
Li1 0.0000 0.0000 0.0000
Ge1 0.2500 0.7500 0.5000
Ge2 0.7500 0.2500 0.5000
Pb1 0.4006 0.4006 0.0000
Pb2 0.5994 0.5994 0.0000
```

Properties
- N(E_F): 2.183 states/eV per cell
- Raw total energy: -18.065 eV/cell
- Spin magnetization: 0.00 μB per atom
- ΔE to the lowest computed polymorph: 0.069 eV per atom
- Space-group type: I4/mmm

***

4.
Here is an optimized crystal structure of Mn2CdCl from Alexandria via LeMat-Bulk. Energies are from PBE-GGA.

```
data_Mn2CdCl
_space_group_name_H-M_alt 'P 1'
_space_group_IT_number 1
_space_group_name_Hall 'P 1'
_cell_length_a 6.4994
_cell_length_b 6.4994
_cell_length_c 4.7572
_cell_angle_alpha 90.17
_cell_angle_beta 90.17
_cell_angle_gamma 27.00
loop_
_atom_site_label
_atom_site_fract_x
_atom_site_fract_y
_atom_site_fract_z
Mn1 0.0000 0.0000 0.0000
Mn2 0.6746 0.6746 0.0015
Cd1 0.5533 0.5533 0.5004
Cl1 0.3300 0.3300 0.9991
```

Properties
- N(E_F): 2.744 states/eV per cell
- Raw total energy: -20.624 eV/cell
- Raw formation energy: 0.119 eV/atom
- Spin magnetization: 1.95 μB per atom
- ΔE to the lowest computed polymorph: 0.113 eV per atom
- Space-group type: Cm

***

5.
Here is an optimized crystal structure of TbPr4Dy3 from Alexandria via LeMat-Bulk. Energies are from PBE-GGA.

```
data_TbPr4Dy3
_space_group_name_H-M_alt 'P 1'
_space_group_IT_number 1
_space_group_name_Hall 'P 1'
_cell_length_a 13.4356
_cell_length_b 13.4356
_cell_length_c 3.6734
_cell_angle_alpha 90.00
_cell_angle_beta 90.00
_cell_angle_gamma 155.32
loop_
_atom_site_label
_atom_site_fract_x
_atom_site_fract_y
_atom_site_fract_z
Tb1 0.0000 0.0000 0.0000
Pr1 0.1025 0.8975 0.5000
Pr2 0.2229 0.7771 0.5000
Pr3 0.7771 0.2229 0.5000
Pr4 0.8975 0.1025 0.5000
Dy1 0.3509 0.6491 0.0000
Dy2 0.5000 0.5000 0.5000
Dy3 0.6491 0.3509 0.0000
```

Properties
- N(E_F): 12.361 states/eV per cell
- Raw total energy: -36.014 eV/cell
- Spin magnetization: 0.00 μB per atom
- ΔE to the lowest computed polymorph: 0.161 eV per atom
- Space-group type: Cmmm

***

6.
Here is an optimized crystal structure of CaAc4Co from Alexandria via LeMat-Bulk. Energies are from PBE-GGA.

```
data_CaAc4Co
_space_group_name_H-M_alt 'P 1'
_space_group_IT_number 1
_space_group_name_Hall 'P 1'
_cell_length_a 10.4243
_cell_length_b 10.4243
_cell_length_c 8.0545
_cell_angle_alpha 90.00
_cell_angle_beta 90.00
_cell_angle_gamma 146.50
loop_
_atom_site_label
_atom_site_fract_x
_atom_site_fract_y
_atom_site_fract_z
Ca1 0.1132 0.8868 0.7500
Ca2 0.8868 0.1132 0.2500
Ac1 0.1093 0.8907 0.2500
Ac2 0.3039 0.6961 0.5007
Ac3 0.3039 0.6961 0.9993
Ac4 0.5000 0.5000 0.0000
Ac5 0.5000 0.5000 0.5000
Ac6 0.6961 0.3039 0.0007
Ac7 0.6961 0.3039 0.4993
Ac8 0.8907 0.1093 0.7500
Co1 0.4042 0.5958 0.7500
Co2 0.5958 0.4042 0.2500
```

Properties
- N(E_F): 16.359 states/eV per cell
- Raw total energy: -50.667 eV/cell
- Spin magnetization: 0.00 μB per atom
- ΔE to the lowest computed polymorph: 0.010 eV per atom
- Space-group type: Cmcm

***

7.
Here is an optimized crystal structure of Sr2Sm4Sb3N2 from Alexandria via LeMat-Bulk. Energies are from PBE-GGA.

```
data_Sr2Sm4Sb3N2
_space_group_name_H-M_alt 'P 1'
_space_group_IT_number 1
_space_group_name_Hall 'P 1'
_cell_length_a 13.4636
_cell_length_b 13.4636
_cell_length_c 13.4636
_cell_angle_alpha 159.19
_cell_angle_beta 159.19
_cell_angle_gamma 29.60
loop_
_atom_site_label
_atom_site_fract_x
_atom_site_fract_y
_atom_site_fract_z
Sr1 0.1942 0.1942 0.0000
Sr2 0.8058 0.8058 0.0000
Sm1 0.0828 0.5828 0.5000
Sm2 0.4172 0.9172 0.5000
Sm3 0.5828 0.0828 0.5000
Sm4 0.9172 0.4172 0.5000
Sb1 0.3278 0.3278 0.0000
Sb2 0.5000 0.5000 0.0000
Sb3 0.6722 0.6722 0.0000
N1 0.0948 0.0948 0.0000
N2 0.9052 0.9052 0.0000
```

Properties
- N(E_F): 3.638 states/eV per cell
- Raw total energy: -63.919 eV/cell
- Raw formation energy: -1.151 eV/atom
- Spin magnetization: 0.00 μB per atom
- Space-group type: I4/mmm

***

8.
Here is an optimized crystal structure of CaMnBRh2 from Alexandria via LeMat-Bulk. Energies are from PBE-GGA.

```
data_CaMnBRh2
_space_group_name_H-M_alt 'P 1'
_space_group_IT_number 1
_space_group_name_Hall 'P 1'
_cell_length_a 4.2536
_cell_length_b 4.2536
_cell_length_c 4.1346
_cell_angle_alpha 90.00
_cell_angle_beta 90.00
_cell_angle_gamma 90.00
loop_
_atom_site_label
_atom_site_fract_x
_atom_site_fract_y
_atom_site_fract_z
Ca1 0.0000 0.0000 0.0000
Mn1 0.5000 0.5000 0.0000
B1 0.5000 0.5000 0.5000
Rh1 0.0000 0.5000 0.5000
Rh2 0.5000 0.0000 0.5000
```

Properties
- N(E_F): 1.643 states/eV per cell
- Raw total energy: -34.129 eV/cell
- Spin magnetization: 0.78 μB per atom
- Space-group type: P4/mmm

***

9.
Here is an optimized crystal structure of TaCo2Rh from Alexandria via LeMat-Bulk. Energies are from PBE-GGA.

```
data_TaCo2Rh
_space_group_name_H-M_alt 'P 1'
_space_group_IT_number 1
_space_group_name_Hall 'P 1'
_cell_length_a 8.6757
_cell_length_b 8.6757
_cell_length_c 8.6757
_cell_angle_alpha 18.20
_cell_angle_beta 18.20
_cell_angle_gamma 18.20
loop_
_atom_site_label
_atom_site_fract_x
_atom_site_fract_y
_atom_site_fract_z
Ta1 0.0000 0.0000 0.0000
Co1 0.4941 0.4941 0.4941
Co2 0.7549 0.7549 0.7549
Rh1 0.2442 0.2442 0.2442
```

Properties
- N(E_F): 5.966 states/eV per cell
- Raw total energy: -33.002 eV/cell
- Spin magnetization: 0.87 μB per atom
- ΔE to the lowest computed polymorph: 0.441 eV per atom
- Space-group type: R3m

***

10.
Here is an optimized crystal structure of CuTc2Rh2 from Alexandria via LeMat-Bulk. Energies are from PBE-GGA.

```
data_CuTc2Rh2
_space_group_name_H-M_alt 'P 1'
_space_group_IT_number 1
_space_group_name_Hall 'P 1'
_cell_length_a 7.5069
_cell_length_b 7.5069
_cell_length_c 2.6914
_cell_angle_alpha 90.00
_cell_angle_beta 90.00
_cell_angle_gamma 90.00
loop_
_atom_site_label
_atom_site_fract_x
_atom_site_fract_y
_atom_site_fract_z
Cu1 0.0000 0.0000 0.0000
Cu2 0.5000 0.5000 0.0000
Tc1 0.1729 0.3271 0.5000
Tc2 0.3271 0.8271 0.5000
Tc3 0.6729 0.1729 0.5000
Tc4 0.8271 0.6729 0.5000
Rh1 0.1235 0.6235 0.0000
Rh2 0.3765 0.1235 0.0000
Rh3 0.6235 0.8765 0.0000
Rh4 0.8765 0.3765 0.0000
```

Properties
- N(E_F): 7.843 states/eV per cell
- Raw total energy: -76.432 eV/cell
- Spin magnetization: 0.00 μB per atom
- Space-group type: P4/mbm

***

11.
Here is an optimized crystal structure of As2SeBr from Alexandria via LeMat-Bulk. Energies are from PBE-GGA.

```
data_As2SeBr
_space_group_name_H-M_alt 'P 1'
_space_group_IT_number 1
_space_group_name_Hall 'P 1'
_cell_length_a 4.8816
_cell_length_b 4.8816
_cell_length_c 3.5228
_cell_angle_alpha 90.00
_cell_angle_beta 90.00
_cell_angle_gamma 90.00
loop_
_atom_site_label
_atom_site_fract_x
_atom_site_fract_y
_atom_site_fract_z
As1 0.0000 0.5000 0.0000
As2 0.5000 0.0000 0.0000
Se1 0.0000 0.0000 0.5000
Br1 0.5000 0.5000 0.5000
```

Properties
- N(E_F): 3.594 states/eV per cell
- Raw total energy: -12.222 eV/cell
- Raw formation energy: 0.559 eV/atom
- Spin magnetization: 0.00 μB per atom
- ΔE to the lowest computed polymorph: 0.601 eV per atom
- Space-group type: P4/mmm

***

12.
Here is an optimized crystal structure of ZrScP from Alexandria via LeMat-Bulk. Energies are from PBE-GGA.

```
data_ZrScP
_space_group_name_H-M_alt 'P 1'
_space_group_IT_number 1
_space_group_name_Hall 'P 1'
_cell_length_a 6.4831
_cell_length_b 5.3093
_cell_length_c 5.2749
_cell_angle_alpha 75.54
_cell_angle_beta 52.47
_cell_angle_gamma 51.99
loop_
_atom_site_label
_atom_site_fract_x
_atom_site_fract_y
_atom_site_fract_z
Zr1 0.1603 0.1603 0.8397
Zr2 0.8397 0.8397 0.1603
Sc1 0.3378 0.6622 0.3378
Sc2 0.6622 0.3378 0.6622
P1 0.2500 0.2500 0.2500
P2 0.7500 0.7500 0.7500
```

Properties
- N(E_F): 3.817 states/eV per cell
- Raw total energy: -46.550 eV/cell
- Spin magnetization: 0.00 μB per atom
- Space-group type: Fmmm